1.
# Rb2MgAg2Br6 | the Alexandria database | GGA-PBE | optimized geometry
data_Rb2MgAg2Br6
_chemical_formula_sum 'Rb2 Mg1 Ag2 Br6'
_symmetry_space_group_name_H-M 'P 1'
_symmetry_Int_Tables_number 1
_symmetry_space_group_name_Hall 'P 1'
_cell_length_a 7.837
_cell_length_b 8.096
_cell_length_c 7.874
_cell_angle_alpha 116.59
_cell_angle_beta 90.00
_cell_angle_gamma 118.95
loop_
_atom_site_label
_atom_site_type_symbol
_atom_site_fract_x
_atom_site_fract_y
_atom_site_fract_z
Ag1 Ag 0.933 0.865 0.778
Ag2 Ag 0.067 0.135 0.222
Br1 Br 0.280 0.561 0.380
Br2 Br 0.720 0.439 0.620
Br3 Br 0.685 0.898 0.215
Br4 Br 0.213 0.898 0.215
Br5 Br 0.315 0.102 0.785
Br6 Br 0.787 0.102 0.785
Rb1 Rb 0.738 0.475 0.198
Rb2 Rb 0.262 0.525 0.802
Mg1 Mg 0.500 0.000 0.500
# total energy = -2.88 eV per atom
# energy relative to the elements, uncorrected = -1.126 eV per atom

2.
# Sm3Dy4Ho | the Alexandria database | GGA-PBE | optimized geometry
data_Sm3Dy4Ho
_chemical_formula_sum 'Sm3 Dy4 Ho1'
_symmetry_space_group_name_H-M 'P 1'
_symmetry_Int_Tables_number 1
_symmetry_space_group_name_Hall 'P 1'
_cell_length_a 3.481
_cell_length_b 6.723
_cell_length_c 11.869
_cell_angle_alpha 106.50
_cell_angle_beta 98.43
_cell_angle_gamma 90.00
loop_
_atom_site_label
_atom_site_type_symbol
_atom_site_fract_x
_atom_site_fract_y
_atom_site_fract_z
Sm1 Sm 0.000 0.500 0.000
Sm2 Sm 0.126 0.882 0.251
Sm3 Sm 0.874 0.118 0.749
Dy1 Dy 0.125 0.366 0.249
Dy2 Dy 0.260 0.754 0.520
Dy3 Dy 0.740 0.246 0.480
Dy4 Dy 0.875 0.634 0.751
Ho1 Ho 0.500 0.000 0.000
# total energy = -4.48 eV per atom
# calculated formation energy = 162 meV per atom

- Which of these has the lowest total energy?
  Sm3Dy4Ho

- total energy of number 1 (Rb2MgAg2Br6)?
  -2.88 eV per atom